Record 1
A plane-wave DFT calculation with PBE was carried out for a relaxed Dy5ErTm2Sc crystal.

Results
For the formation energy, the calculation gives 0.1679 eV per atom. The value obtained for the volume is 31.1 Å³ per atom.

abc: 10.2803 10.2803 10.3070
angles: 90.00 90.00 149.08
Last column: nearest neighbours and their distance in Å.
Positions (direct):
Dy (0.0173, 0.9827, 0.5000)  2 Er 3.11-3.27, 2 Tm 3.39
Dy (0.1229, 0.8771, 0.7802)  4 Tm 3.51-3.55, 6 Dy 3.57-3.89, 1 Sc 3.61
Dy (0.1994, 0.8006, 0.4649)  1 Er 3.33, 4 Dy 3.34-3.63, 2 Sc 3.37, 3 Tm 3.42-3.71
Dy (0.2247, 0.7753, 0.0791)  1 Er 2.99, 1 Tm 3.25, 2 Dy 3.34
Dy (0.4833, 0.5167, 0.7754)  2 Er 3.18, 4 Tm 3.31-3.56, 1 Sc 3.53
Dy (0.5167, 0.4833, 0.2754)  2 Er 3.18, 4 Tm 3.31-3.56, 1 Sc 3.53
Dy (0.7753, 0.2247, 0.5791)  1 Er 2.99, 1 Tm 3.25, 2 Dy 3.34
Dy (0.8006, 0.1994, 0.9649)  1 Er 3.33, 4 Dy 3.34-3.63, 2 Sc 3.37, 3 Tm 3.42-3.71
Dy (0.8771, 0.1229, 0.2802)  4 Tm 3.51-3.55, 6 Dy 3.57-3.89, 1 Sc 3.61
Dy (0.9827, 0.0173, 0.0000)  2 Er 3.11-3.27, 2 Tm 3.39
Er (0.0919, 0.9081, 0.2166)  6 Dy 2.99-3.33
Er (0.9081, 0.0919, 0.7166)  6 Dy 2.99-3.33
Tm (0.3861, 0.6139, 0.4978)  1 Sc 3.27, 6 Dy 3.45-3.61, 2 Er 3.58
Tm (0.3888, 0.6112, 0.0686)  9 Dy 3.25-3.56, 1 Sc 3.46
Tm (0.6112, 0.3888, 0.5686)  9 Dy 3.25-3.56, 1 Sc 3.46
Tm (0.6139, 0.3861, 0.9978)  1 Sc 3.27, 6 Dy 3.45-3.61, 2 Er 3.58
Sc (0.3052, 0.6948, 0.7743)  2 Tm 3.27-3.46, 7 Dy 3.37-3.61, 2 Er 3.47
Sc (0.6948, 0.3052, 0.2743)  2 Tm 3.27-3.46, 7 Dy 3.37-3.61, 2 Er 3.47

***

Record 2
A plane-wave DFT calculation with PBE was carried out for a relaxed Dy2Er6TmSc crystal.

Results
For the formation energy, the calculation gives 0.1260 eV per atom. The value obtained for the volume is 30.4 Å³ per atom.

abc: 8.5877 8.5877 9.3778
angles: 94.14 94.14 117.43
Last column: nearest neighbours and their distance in Å.
Positions (direct):
Dy (0.1989, 0.3019, 0.0462)  5 Er 3.16-3.44, 2 Tm 3.31-3.34, 1 Sc 3.41
Dy (0.3019, 0.1989, 0.5462)  5 Er 3.16-3.44, 2 Tm 3.31-3.34, 1 Sc 3.41
Dy (0.6981, 0.8011, 0.4538)  5 Er 3.16-3.44, 2 Tm 3.31-3.34, 1 Sc 3.41
Dy (0.8011, 0.6981, 0.9538)  5 Er 3.16-3.44, 2 Tm 3.31-3.34, 1 Sc 3.41
Er (0.0099, 0.5682, 0.1891)  3 Er 3.20-3.55, 1 Dy 3.31, 1 Sc 3.34, 1 Tm 3.49
Er (0.1268, 0.7510, 0.5564)  7 Er 3.36-3.64, 1 Dy 3.44, 1 Tm 3.57, 1 Sc 3.75
Er (0.2490, 0.8732, 0.9436)  7 Er 3.36-3.64, 1 Dy 3.44, 1 Tm 3.57, 1 Sc 3.75
Er (0.2924, 0.5040, 0.3829)  3 Dy 3.16-3.34, 4 Er 3.20-3.43, 2 Sc 3.29-3.45
Er (0.4318, 0.9901, 0.3109)  3 Er 3.20-3.55, 1 Dy 3.31, 1 Sc 3.34, 1 Tm 3.49
Er (0.4960, 0.7076, 0.1171)  3 Dy 3.16-3.34, 4 Er 3.20-3.43, 2 Sc 3.29-3.45
Er (0.5040, 0.2924, 0.8829)  3 Dy 3.16-3.34, 4 Er 3.20-3.43, 2 Sc 3.29-3.45
Er (0.5682, 0.0099, 0.6891)  3 Er 3.20-3.55, 1 Dy 3.31, 1 Sc 3.34, 1 Tm 3.49
Er (0.7076, 0.4960, 0.6171)  3 Dy 3.16-3.34, 4 Er 3.20-3.43, 2 Sc 3.29-3.45
Er (0.7510, 0.1268, 0.0564)  7 Er 3.36-3.64, 1 Dy 3.44, 1 Tm 3.57, 1 Sc 3.75
Er (0.8732, 0.2490, 0.4436)  7 Er 3.36-3.64, 1 Dy 3.44, 1 Tm 3.57, 1 Sc 3.75
Er (0.9901, 0.4318, 0.8109)  3 Er 3.20-3.55, 1 Dy 3.31, 1 Sc 3.34, 1 Tm 3.49
Tm (0.0211, 0.9789, 0.2500)  4 Dy 3.31-3.34, 4 Er 3.49-3.57
Tm (0.9789, 0.0211, 0.7500)  4 Dy 3.31-3.34, 4 Er 3.49-3.57
Sc (0.4116, 0.5884, 0.7500)  6 Er 3.29-3.45, 2 Dy 3.41
Sc (0.5884, 0.4116, 0.2500)  6 Er 3.29-3.45, 2 Dy 3.41

***

Among the records above, which one has the highest formation energy? Dy5ErTm2Sc